Compound: Sm6Te3As2P
Source: the Alexandria database
Functional: PBE
Structure: optimized geometry

a b c (Å): 4.2616 8.7372 9.7361
angles (deg): 105.05 102.64 90.00
Positions (direct):
Sm 0.3445 0.9047 0.6890
Sm 0.6727 0.5665 0.3454
Sm 0.6555 0.0953 0.3110
Sm 0.0053 0.2250 0.0107
Sm 0.9947 0.7750 0.9893
Sm 0.3273 0.4335 0.6546
Te 0.5000 0.5000 0.0000
Te 0.8317 0.1660 0.6634
Te 0.1683 0.8340 0.3366
As 0.8335 0.6673 0.6670
As 0.1665 0.3327 0.3330
P 0.5000 0.0000 0.0000

Summary:
Uncorrected formation energy in eV/atom: -1.55